# Er4Si2Bi

Crystalline Er4Si2Bi at its relaxed geometry (GGA-PBE, Alexandria).

The structure in extended XYZ format:
```
14
Lattice="8.000 -1.021 -0.165 -1.595 7.905 0.164 -3.083 -3.553 6.553" Properties=species:S:1:pos:R:3 pbc="T T T"
Er 4.247 1.319 4.400
Si -1.910 0.172 4.955
Si 3.631 1.439 1.597
Bi -0.737 3.898 3.358
Er 3.916 -2.491 4.340
Er 1.336 3.120 1.205
Er 5.111 3.725 1.147
Si 2.090 -0.339 4.874
Er -0.067 -1.996 5.347
Er 5.926 -0.244 1.988
Er 2.150 -0.848 2.048
Er 0.264 1.813 5.406
Si 2.833 5.391 1.679
Bi 3.321 3.330 6.552
```

Summary:
E	-73.44	eV/cell